Entry 1:
The following is a PBE calculation of a geometry-optimized MnV6Mo2 structure, from the Alexandria database.

Calculated values
- formation enthalpy at 0 K (eV/atom) = -0.1003
- crystal system = triclinic
- DOS(E_F) (states/eV/cell) = 9.1

Lattice parameters (Å, degrees): 4.333 4.936 6.745 81.43 71.09 63.83
Positions (direct):
Mn (0.000, 0.500, 0.500)
V (0.663, 0.726, 0.948)
V (0.337, 0.274, 0.052)
V (0.996, 0.834, 0.173)
V (0.328, 0.951, 0.392)
V (0.004, 0.166, 0.827)
V (0.672, 0.049, 0.608)
Mo (0.333, 0.610, 0.723)
Mo (0.667, 0.390, 0.277)



Entry 2:
The following is a PBE calculation of a geometry-optimized YMn2Rh structure, from the Alexandria database.

Calculated values
- formation enthalpy at 0 K (eV/atom) = 0.0091
- crystal system = tetragonal
- DOS(E_F) (states/eV/cell) = 3.5

Lattice parameters (Å, degrees): 5.320 5.320 5.320 136.15 136.15 63.75
Last column: magnetic moment on the atom in μB.
Positions (direct):
Mn (0.000, 0.000, 0.000)  3.69
Mn (0.500, 0.500, 0.000)  3.69
Rh (0.250, 0.750, 0.500)  0.38
Y (0.750, 0.250, 0.500)  -0.08



Entry 3:
The following is a PBE calculation of a geometry-optimized BaSr2ScFe structure, from the Alexandria database.

Calculated values
- formation enthalpy at 0 K (eV/atom) = 1.3043
- crystal system = tetragonal
- DOS(E_F) (states/eV/cell) = 11.8

Lattice parameters (Å, degrees): 6.343 4.672 6.343 90.00 90.00 90.00
Positions (direct):
Sc (0.500, 0.500, 0.500)
Sr (0.000, 0.000, 0.500)
Sr (0.500, 0.000, 0.000)
Ba (0.000, 0.000, 0.000)
Fe (0.000, 0.500, 0.000)



Entry 4:
The following is a PBE calculation of a geometry-optimized Li2ZnCu2Pd5 structure, from the Alexandria database.

Calculated values
- formation enthalpy at 0 K (eV/atom) = -0.2201
- crystal system = tetragonal
- DOS(E_F) (states/eV/cell) = 9.6

Lattice parameters (Å, degrees): 3.948 8.851 8.851 90.00 90.00 90.00
Positions (direct):
Li (0.000, 0.669, 0.169)
Li (0.000, 0.331, 0.831)
Li (0.000, 0.169, 0.331)
Li (0.000, 0.831, 0.669)
Zn (0.000, 0.000, 0.000)
Zn (0.000, 0.500, 0.500)
Cu (0.000, 0.127, 0.627)
Cu (0.000, 0.873, 0.373)
Cu (0.000, 0.627, 0.873)
Cu (0.000, 0.373, 0.127)
Pd (0.500, 0.198, 0.080)
Pd (0.500, 0.802, 0.920)
Pd (0.500, 0.080, 0.802)
Pd (0.500, 0.698, 0.420)
Pd (0.500, 0.920, 0.198)
Pd (0.500, 0.302, 0.580)
Pd (0.500, 0.580, 0.698)
Pd (0.500, 0.420, 0.302)
Pd (0.500, 0.500, 0.000)
Pd (0.500, 0.000, 0.500)



Entry 5:
The following is a PBE calculation of a geometry-optimized CeHfPa structure, from the Alexandria database.

Calculated values
- formation enthalpy at 0 K (eV/atom) = 0.0826
- crystal system = tetragonal
- DOS(E_F) (states/eV/cell) = 4.7

Lattice parameters (Å, degrees): 3.127 3.127 7.836 101.51 101.51 90.00
Positions (direct):
Pa (0.003, 0.003, 0.007)
Hf (0.662, 0.662, 0.324)
Ce (0.334, 0.334, 0.669)



Entry 6:
The following is a PBE calculation of a geometry-optimized Pm4Nd6Y structure, from the Alexandria database.

Calculated values
- formation enthalpy at 0 K (eV/atom) = 0.3552
- crystal system = tetragonal
- DOS(E_F) (states/eV/cell) = 13.3

Lattice parameters (Å, degrees): 7.670 7.670 8.722 116.08 116.08 90.00
Positions (direct):
Pm (0.091, 0.750, 0.840)
Pm (0.909, 0.909, 0.160)
Pm (0.750, 0.091, 0.840)
Pm (0.250, 0.250, 0.160)
Nd (0.916, 0.461, 0.377)
Nd (0.461, 0.916, 0.377)
Nd (0.539, 0.539, 0.623)
Nd (0.000, 0.500, 0.000)
Nd (0.084, 0.084, 0.623)
Nd (0.500, 0.000, 0.000)
Y (0.500, 0.500, 0.000)



Entry 7:
The following is a PBE calculation of a geometry-optimized LiSm2HPt6 structure, from the Alexandria database.

Calculated values
- crystal system = monoclinic
- DOS(E_F) (states/eV/cell) = 3.7
- uncorrected energy (eV per atom) = -5.81

Lattice parameters (Å, degrees): 7.027 5.604 5.604 59.99 66.44 89.99
Positions (direct):
Li (0.000, 0.000, 0.000)
Sm (0.857, 0.286, 0.428)
Sm (0.143, 0.714, 0.572)
H (0.500, 0.500, 0.000)
Pt (0.307, 0.267, 0.466)
Pt (0.692, 0.733, 0.041)
Pt (0.308, 0.774, 0.959)
Pt (0.692, 0.226, 0.041)
Pt (0.308, 0.267, 0.959)
Pt (0.693, 0.733, 0.534)



Entry 8:
The following is a PBE calculation of a geometry-optimized ScTlZn structure, from the Alexandria database.

Calculated values
- formation enthalpy at 0 K (eV/atom) = -0.1488
- crystal system = orthorhombic
- DOS(E_F) (states/eV/cell) = 8.8

Lattice parameters (Å, degrees): 6.183 4.450 9.194 90.00 90.00 90.00
Positions (direct):
Sc (0.355, 0.250, 0.409)
Sc (0.145, 0.750, 0.909)
Sc (0.645, 0.750, 0.591)
Sc (0.855, 0.250, 0.091)
Tl (0.853, 0.250, 0.414)
Tl (0.647, 0.750, 0.914)
Tl (0.147, 0.750, 0.586)
Tl (0.353, 0.250, 0.086)
Zn (0.918, 0.250, 0.757)
Zn (0.582, 0.750, 0.257)
Zn (0.082, 0.750, 0.243)
Zn (0.418, 0.250, 0.743)



Entry 9:
The following is a PBE calculation of a geometry-optimized La2SnOs2 structure, from the Alexandria database.

Calculated values
- formation enthalpy at 0 K (eV/atom) = 0.1505
- crystal system = tetragonal
- DOS(E_F) (states/eV/cell) = 7.4

Lattice parameters (Å, degrees): 5.789 5.789 5.677 59.34 59.34 90.00
Positions (direct):
Os (0.340, 0.340, 0.320)
Os (0.660, 0.660, 0.680)
Sn (0.000, 0.000, 0.000)
La (0.750, 0.250, 0.500)
La (0.250, 0.750, 0.500)



Entry 10:
The following is a PBE calculation of a geometry-optimized BaPbW3 structure, from the Alexandria database.

Calculated values
- formation enthalpy at 0 K (eV/atom) = 2.7098
- crystal system = cubic
- DOS(E_F) (states/eV/cell) = 7.3

Lattice parameters (Å, degrees): 5.193 5.193 5.193 90.00 90.00 90.00
Positions (direct):
Pb (0.000, 0.000, 0.000)
Ba (0.500, 0.500, 0.500)
W (0.000, 0.500, 0.000)
W (0.000, 0.000, 0.500)
W (0.500, 0.000, 0.000)



Entry 11:
The following is a PBE calculation of a geometry-optimized Tm2MgGe3Pd4 structure, from the Alexandria database.

Calculated values
- formation enthalpy at 0 K (eV/atom) = -0.7560
- crystal system = tetragonal
- DOS(E_F) (states/eV/cell) = 5.2

Lattice parameters (Å, degrees): 4.099 4.099 11.091 90.00 90.00 90.00
Positions (direct):
Tm (0.500, 0.000, 0.237)
Tm (0.000, 0.500, 0.763)
Mg (0.500, 0.500, 0.500)
Ge (0.000, 0.000, 0.500)
Ge (0.500, 0.000, 0.866)
Ge (0.000, 0.500, 0.134)
Pd (0.500, 0.500, 0.000)
Pd (0.000, 0.000, 0.000)
Pd (0.500, 0.000, 0.648)
Pd (0.000, 0.500, 0.352)



Entry 12:
The following is a PBE calculation of a geometry-optimized CdIF structure, from the Alexandria database.

Calculated values
- crystal system = orthorhombic
- DOS(E_F) (states/eV/cell) = 0.0
- energy relative to the elements, uncorrected (eV per atom) = -1.36

Lattice parameters (Å, degrees): 4.043 6.457 13.455 90.00 90.00 90.00
Positions (direct):
I (0.750, 0.067, 0.859)
I (0.250, 0.433, 0.359)
I (0.750, 0.567, 0.641)
I (0.250, 0.933, 0.141)
Cd (0.250, 0.764, 0.504)
Cd (0.750, 0.236, 0.496)
Cd (0.250, 0.264, 0.996)
Cd (0.750, 0.736, 0.004)
F (0.250, 0.594, 0.942)
F (0.750, 0.906, 0.442)
F (0.250, 0.094, 0.558)
F (0.750, 0.406, 0.058)



- The lowest DOS(E_F) belongs to which entry?
  CdIF